No. 1
8
Lattice="-3.055 1.155 -2.864 -3.388 -4.794 1.681 -3.414 4.296 5.374" Properties=species:S:1:pos:R:3 comment="AcGdAsO, optimized geometry, DFT PBE" sg=Pmc2_1 e_above_lowest_polymorph_ev_per_fu=0.000 pbc="T T T"
Ac -3.418 -3.915 2.067
Ac -2.367 2.136 3.386
As -3.199 0.970 0.509
As -7.014 0.135 4.242
Gd -5.187 -0.559 2.014
Gd -5.987 2.873 4.251
O -3.906 -1.804 3.439
O -3.974 2.663 5.313

***

No. 2
8
Lattice="3.502 0.000 0.000 -1.751 3.033 0.000 0.000 0.000 15.769" Properties=species:S:1:pos:R:3 comment="Lu4AlTlC2, optimized geometry, DFT PBE" total_energy_ev_per_atom=-5.718 sg=P-6m2 pbc="T T T"
Al 0.000 2.022 7.884
C 0.000 0.000 3.985
C 0.000 0.000 11.784
Lu 0.000 2.022 2.702
Lu 1.751 1.011 5.318
Lu 1.751 1.011 10.451
Lu 0.000 2.022 13.066
Tl 1.751 1.011 0.000

***

No. 3
8
Lattice="-3.054 -2.664 -1.514 2.013 -0.132 -3.827 5.557 -8.190 3.205" Properties=species:S:1:pos:R:3 comment="TbTmAg2Sb4, optimized geometry, DFT PBE" total_energy_ev_per_atom=-4.502 sg=P4mm pbc="T T T"
Ag 1.256 -5.434 0.848
Ag 3.789 -4.168 -0.308
Sb 1.227 -3.974 -1.662
Sb 3.820 -5.631 2.204
Sb 4.019 -9.506 2.442
Sb 6.552 -8.240 1.286
Tb 1.309 -1.930 0.755
Tm 3.729 -7.661 -0.219

***

No. 4
4
Lattice="2.367 1.366 3.865 -2.367 1.366 3.865 0.000 -2.733 3.865" Properties=species:S:1:pos:R:3 comment="TlTcAs2, optimized geometry, DFT PBE" total_energy_ev_per_atom=-4.740 sg=F-43m pbc="T T T"
As 0.000 0.000 0.000
As 0.000 0.000 8.696
Tc 0.000 0.000 2.899
Tl 0.000 0.000 5.797